1.
Entry from Alexandria: a relaxed structure of YEr4Ge4 (PBE-GGA).

The space group is P4_2/n (No. 86, origin choice 2) and the conventional cell measures 9.111, 9.111 and 5.762 Å, with angles of 90.00, 90.00 and 90.00 degrees. The inequivalent atoms are Y at (0.250, 0.250, 0.250), Er at (0.084, 0.652, 0.138) and Ge at (0.031, 0.616, 0.641).

2.
Entry from Alexandria: a relaxed structure of YErGe2 (PBE-GGA).

The space group is Pmc2_1 (No. 26) and the conventional cell measures 3.954, 5.765 and 7.917 Å, with angles of 90.00, 90.00 and 90.00 degrees. The inequivalent atoms are Y at (0.000, 0.131, 0.000), Er at (0.500, 0.369, 0.638), Ge at (0.000, 0.396, 0.360) and Ge at (0.500, 0.105, 0.278).

3.
Entry from Alexandria: a relaxed structure of Y2ErGe2 (PBE-GGA).

The space group is C2/m (No. 12) and the conventional cell measures 12.234, 4.369 and 10.472 Å, with angles of 90.00, 117.09 and 90.00 degrees. The inequivalent atoms are Y at (0.017, 0.000, 0.186), Y at (0.182, 0.000, 0.586), Er at (0.218, 0.500, 0.859), Ge at (0.028, 0.500, 0.392) and Ge at (0.120, 0.500, 0.066).

Formation energy from the elements per entry: -0.58; -0.87; -0.71 eV per atom